The following is a DFT calculation (PBE) of BaLi2As after structural relaxation.

Cell and atoms, written as POSCAR:
```
BaLi2As
1.0
-4.4887 -0.3680 -2.7397
0.7244 -5.0561 -1.3042
-0.4696 2.3515 4.6947
As Ba Li
1 1 2
direct
0.2500 0.7500 0.5000
0.7500 0.2500 0.5000
0.0664 0.0664 0.0000
0.4336 0.4336 0.0000
```

Output
calculated formation energy = -0.481 eV per atom
SG = Immm



The following is a DFT calculation (PBE) of MgNbCu after structural relaxation.

Cell and atoms, written as POSCAR:
```
MgNbCu
1.0
-1.4316 2.1219 2.8155
-2.0068 -2.9175 -1.3929
4.4662 -6.4923 7.1639
Nb Mg Cu
2 2 2
direct
0.0000 0.0000 0.0000
0.0000 0.0000 0.5000
0.0000 0.0000 0.2500
0.0000 0.0000 0.7500
0.3333 0.6667 0.2500
0.6667 0.3333 0.7500
```

Output
calculated formation energy = 1.842 eV per atom
SG = P6_3/mmc



The following is a DFT calculation (PBE) of KAsPbO5 after structural relaxation.

Cell and atoms, written as POSCAR:
```
KAsPbO5
1.0
6.1572 0.0395 -0.0472
-1.7596 5.9006 -0.0472
-1.8819 -2.5420 6.9157
K As Pb O
2 2 2 10
direct
0.3430 0.6570 0.2500
0.6570 0.3430 0.7500
0.6895 0.3105 0.2500
0.3105 0.6895 0.7500
0.0000 0.0000 0.5000
0.0000 0.0000 0.0000
0.0837 0.9163 0.2500
0.9163 0.0837 0.7500
0.8921 0.3150 0.1275
0.1079 0.6850 0.8725
0.6850 0.1079 0.3725
0.3150 0.8921 0.6275
0.7628 0.5940 0.4174
0.2372 0.4060 0.5826
0.4060 0.2372 0.0826
0.5940 0.7628 0.9174
```

Output
formation energy without anion corrections = -1.267 eV per atom
SG = C2/c



The following is a DFT calculation (PBE) of NbAg2Au after structural relaxation.

Cell and atoms, written as POSCAR:
```
NbAg2Au
1.0
0.0000 3.2845 3.2845
3.2845 0.0000 3.2845
3.2845 3.2845 0.0000
Nb Au Ag
1 1 2
direct
0.0000 0.0000 0.0000
0.5000 0.5000 0.5000
0.2500 0.2500 0.2500
0.7500 0.7500 0.7500
```

Output
calculated formation energy = 0.279 eV per atom
SG = Fm-3m



no.,size of the total moment (μB per cell),total DFT energy (no corrections) (eV per atom)
1,0.0,-3.0810
2,0.0,-3.4117
3,0.0,-5.5476
4,0.0,-4.4830